DFT (GGA-PBE) results for crystalline SrCa6Cd at its relaxed geometry.

POSCAR file:
```
SrCa6Cd
1.0
4.187 0.000 0.000
0.000 8.751 0.000
0.000 0.000 8.751
Sr Ca Cd
1 6 1
Cartesian
2.094 4.375 4.375 Sr
2.094 0.000 4.375 Ca
2.094 4.375 0.000 Ca
0.000 6.872 1.878 Ca
0.000 1.878 6.872 Ca
0.000 6.872 6.872 Ca
0.000 1.878 1.878 Ca
2.094 0.000 0.000 Cd
```

Total moment, μB per atom: 0.0000
Electronic total energy, eV/atom: -1.90
DOS at the Fermi energy, states/eV per cell: 7.36


DFT (GGA-PBE) results for crystalline Fe3ReNi12 at its relaxed geometry.

POSCAR file:
```
Fe3ReNi12
1.0
3.563 0.000 0.000
0.000 3.563 0.000
0.000 0.000 14.288
Fe Re Ni
3 1 12
Cartesian
0.000 0.000 3.650 Fe
0.000 0.000 7.144 Fe
0.000 0.000 10.638 Fe
0.000 0.000 0.000 Re
1.782 1.782 0.000 Ni
1.782 1.782 3.596 Ni
1.782 1.782 7.144 Ni
1.782 1.782 10.691 Ni
1.782 0.000 1.811 Ni
1.782 0.000 5.374 Ni
1.782 0.000 8.913 Ni
1.782 0.000 12.477 Ni
0.000 1.782 1.811 Ni
0.000 1.782 5.374 Ni
0.000 1.782 8.913 Ni
0.000 1.782 12.477 Ni
```

Total moment, μB per atom: 0.9782
Electronic total energy, eV/atom: -6.73
DOS at the Fermi energy, states/eV per cell: 13.39